(1)
An optimized crystal structure of ZrTiPd6, computed with PBE-GGA.

```
ZrTiPd6
1.0
3.985 0.000 0.000
0.000 3.985 0.000
0.000 0.000 7.953
Zr Ti Pd
1 1 6
Direct
0.000 0.000 0.000 Zr
0.000 0.000 0.500 Ti
0.500 0.000 0.743 Pd
0.000 0.500 0.257 Pd
0.500 0.500 0.000 Pd
0.500 0.000 0.257 Pd
0.000 0.500 0.743 Pd
0.500 0.500 0.500 Pd
```

Calculated values
Crystal system: tetragonal
Space-group type: P4/mmm
DFT total energy (eV/atom): -6.657



(2)
An optimized crystal structure of Pr4Dy5Th, computed with PBE-GGA.

```
Pr4Dy5Th
1.0
-0.294 3.459 1.061
-1.376 -1.091 3.176
23.418 -1.015 9.799
Pr Th Dy
4 1 5
Direct
0.000 0.000 0.198 Pr
0.000 0.000 0.400 Pr
0.000 0.000 0.802 Pr
0.000 0.000 0.600 Pr
0.000 0.000 0.000 Th
0.500 0.500 0.094 Dy
0.500 0.500 0.299 Dy
0.500 0.500 0.500 Dy
0.500 0.500 0.701 Dy
0.500 0.500 0.906 Dy
```

Calculated values
Crystal system: tetragonal
Space-group type: P4/mmm
Polymorph energy (0 for the lowest one) (eV/f.u.): 0.00



(3)
An optimized crystal structure of Li2ZrTc, computed with PBE-GGA.

```
Li2ZrTc
1.0
2.639 0.000 0.000
0.000 2.639 0.000
0.000 0.000 9.770
Zr Tc Li
1 1 2
Direct
0.500 0.500 0.750 Zr
0.500 0.500 0.250 Tc
0.000 0.000 0.027 Li
0.000 0.000 0.473 Li
```

Calculated values
Crystal system: tetragonal
Space-group type: P4/mmm
Polymorph energy (0 for the lowest one) (eV/f.u.): 1.02